(1)
A plane-wave DFT calculation with meta-GGA SCAN was carried out for a PBEsol-optimized structure of ZnInAs2.

Values from the calculation:
**DOS at the Fermi energy**: 1.737 states/eV/f.u.
**Energy of formation from the pure elements**: 0.34 eV per atom

Cell lengths 6.784, 6.784, 6.784 Å; angles 90.00, 90.00, 90.00 degrees
Space group F-43m (No. 216)
Inequivalent atoms, fractional coordinates:
Zn 0.000 0.000 0.000 (multiplicity 4)
In 0.250 0.250 0.250 (multiplicity 4)
As 0.000 0.000 0.500 (multiplicity 4)
As 0.250 0.250 0.750 (multiplicity 4)

***

(2)
A plane-wave DFT calculation with meta-GGA SCAN was carried out for a PBEsol-optimized structure of GaReB2S.

Values from the calculation:
**DOS at the Fermi energy**: 2.770 states/eV/f.u.
**E**: -20.33 eV/atom

Cell lengths 3.820, 3.820, 4.887 Å; angles 90.00, 90.00, 90.00 degrees
Space group P4/mmm (No. 123)
Inequivalent atoms, fractional coordinates:
Ga 0.000 0.000 0.000 (multiplicity 1)
Re 0.500 0.500 0.500 (multiplicity 1)
B 0.000 0.500 0.000 (multiplicity 2)
S 0.000 0.000 0.500 (multiplicity 1)

***

(3)
A plane-wave DFT calculation with meta-GGA SCAN was carried out for a PBEsol-optimized structure of Co2ReTc.

Values from the calculation:
**DOS at the Fermi energy**: 3.492 states/eV/f.u.
**Energy of formation from the pure elements**: 0.13 eV per atom
**E above lowest polymorph**: 90 meV per atom

Cell lengths 3.673, 3.673, 7.203 Å; angles 90.00, 90.00, 90.00 degrees
Space group I-4m2 (No. 119)
Inequivalent atoms, fractional coordinates:
Co 0.000 0.000 0.000 (multiplicity 2)
Co 0.000 0.500 0.250 (multiplicity 2)
Re 0.000 0.500 0.750 (multiplicity 2)
Tc 0.000 0.000 0.500 (multiplicity 2)

***

Q: Which value of DOS at the Fermi energy does entry 3 give?
A: 3.492 states/eV/f.u.

***

Q: Which formula does entry 1 have?
A: ZnInAs2

***

Q: DOS at the Fermi energy of number 3 (Co2ReTc)?
A: 3.492 states/eV/f.u.

***

Q: Which formula does entry 2 have?
A: GaReB2S